# Mg2Cd2GePd4 | the Alexandria database | PBE | relaxed
data_Mg2Cd2GePd4
_chemical_formula_sum 'Mg2 Cd2 Ge1 Pd4'
_symmetry_space_group_name_H-M 'P 1'
_symmetry_Int_Tables_number 1
_cell_length_a 6.1361
_cell_length_b 6.1361
_cell_length_c 6.1361
_cell_angle_alpha 92.00
_cell_angle_beta 118.85
_cell_angle_gamma 118.85
loop_
_symmetry_equiv_pos_as_xyz
'x,y,z'
loop_
_atom_site_label
_atom_site_type_symbol
_atom_site_fract_x
_atom_site_fract_y
_atom_site_fract_z
_atom_site_occupancy
Mg1 Mg 0.0000 0.6988 0.6988 1
Mg2 Mg 0.0000 0.3012 0.3012 1
Cd1 Cd 0.5000 0.7500 0.2500 1
Cd2 Cd 0.5000 0.2500 0.7500 1
Ge1 Ge 0.0000 0.0000 0.0000 1
Pd1 Pd 0.0000 0.7310 0.2690 1
Pd2 Pd 0.4621 0.7310 0.7310 1
Pd3 Pd 0.0000 0.2690 0.7310 1
Pd4 Pd 0.5379 0.2690 0.2690 1
# - Symmetry: I4/mmm (139)
# - Energy of formation: -0.307 eV per atom

***

# SmZnPd2 | the Alexandria database | PBE | relaxed
data_SmZnPd2
_chemical_formula_sum 'Sm4 Zn4 Pd8'
_symmetry_space_group_name_H-M 'P 1'
_symmetry_Int_Tables_number 1
_cell_length_a 5.6738
_cell_length_b 7.2778
_cell_length_c 7.3285
_cell_angle_alpha 90.00
_cell_angle_beta 90.00
_cell_angle_gamma 90.00
loop_
_symmetry_equiv_pos_as_xyz
'x,y,z'
loop_
_atom_site_label
_atom_site_type_symbol
_atom_site_fract_x
_atom_site_fract_y
_atom_site_fract_z
_atom_site_occupancy
Sm1 Sm 0.3630 0.2500 0.0266 1
Sm2 Sm 0.8630 0.7500 0.4734 1
Sm3 Sm 0.6370 0.7500 0.9734 1
Sm4 Sm 0.1370 0.2500 0.5266 1
Zn1 Zn 0.6416 0.2500 0.3854 1
Zn2 Zn 0.1416 0.7500 0.1146 1
Zn3 Zn 0.3584 0.7500 0.6146 1
Zn4 Zn 0.8584 0.2500 0.8854 1
Pd1 Pd 0.9112 0.0506 0.1832 1
Pd2 Pd 0.4112 0.9494 0.3168 1
Pd3 Pd 0.0888 0.5506 0.8168 1
Pd4 Pd 0.5888 0.4494 0.6832 1
Pd5 Pd 0.0888 0.9494 0.8168 1
Pd6 Pd 0.5888 0.0506 0.6832 1
Pd7 Pd 0.9112 0.4494 0.1832 1
Pd8 Pd 0.4112 0.5506 0.3168 1
# - Symmetry: Pnma (62)
# - Energy of formation: -0.733 eV per atom

***

# Hf4ZnBi2 | the Alexandria database | PBE | relaxed
data_Hf4ZnBi2
_chemical_formula_sum 'Hf8 Zn2 Bi4'
_symmetry_space_group_name_H-M 'P 1'
_symmetry_Int_Tables_number 1
_cell_length_a 4.2103
_cell_length_b 7.3750
_cell_length_c 11.0286
_cell_angle_alpha 90.00
_cell_angle_beta 90.00
_cell_angle_gamma 90.00
loop_
_symmetry_equiv_pos_as_xyz
'x,y,z'
loop_
_atom_site_label
_atom_site_type_symbol
_atom_site_fract_x
_atom_site_fract_y
_atom_site_fract_z
_atom_site_occupancy
Hf1 Hf 0.0000 0.6445 0.7827 1
Hf2 Hf 0.0000 0.3555 0.2173 1
Hf3 Hf 0.0000 0.1445 0.7173 1
Hf4 Hf 0.0000 0.8555 0.2827 1
Hf5 Hf 0.5000 0.8161 0.5702 1
Hf6 Hf 0.5000 0.1839 0.4298 1
Hf7 Hf 0.5000 0.6839 0.0702 1
Hf8 Hf 0.5000 0.3161 0.9298 1
Zn1 Zn 0.0000 0.0000 0.5000 1
Zn2 Zn 0.0000 0.5000 0.0000 1
Bi1 Bi 0.5000 0.9230 0.8465 1
Bi2 Bi 0.5000 0.0770 0.1535 1
Bi3 Bi 0.5000 0.4230 0.6535 1
Bi4 Bi 0.5000 0.5770 0.3465 1
# - Symmetry: Pbam (55)
# - Energy of formation: 0.043 eV per atom

***

# Cs5K2Br | the Alexandria database | PBE | relaxed
data_Cs5K2Br
_chemical_formula_sum 'Cs10 K4 Br2'
_symmetry_space_group_name_H-M 'P 1'
_symmetry_Int_Tables_number 1
_cell_length_a 8.1029
_cell_length_b 8.7562
_cell_length_c 23.1301
_cell_angle_alpha 90.00
_cell_angle_beta 90.00
_cell_angle_gamma 117.56
loop_
_symmetry_equiv_pos_as_xyz
'x,y,z'
loop_
_atom_site_label
_atom_site_type_symbol
_atom_site_fract_x
_atom_site_fract_y
_atom_site_fract_z
_atom_site_occupancy
Cs1 Cs 0.9101 0.8202 0.8646 1
Cs2 Cs 0.9101 0.8202 0.6354 1
Cs3 Cs 0.4097 0.8193 0.3648 1
Cs4 Cs 0.4097 0.8193 0.1352 1
Cs5 Cs 0.7497 0.4995 0.2500 1
Cs6 Cs 0.2503 0.5005 0.7500 1
Cs7 Cs 0.5903 0.1807 0.6352 1
Cs8 Cs 0.5903 0.1807 0.8648 1
Cs9 Cs 0.0899 0.1798 0.1354 1
Cs10 Cs 0.0899 0.1798 0.3646 1
K1 K 0.7521 0.5041 0.4539 1
K2 K 0.7521 0.5041 0.0461 1
K3 K 0.2479 0.4959 0.5461 1
K4 K 0.2479 0.4959 0.9539 1
Br1 Br 0.7501 0.5002 0.7500 1
Br2 Br 0.2499 0.4998 0.2500 1
# - Symmetry: Cmcm (63)
# - Formation energy without anion corrections: -391.2 meV per atom

***

# KTbCe2S4 | the Alexandria database | PBE | relaxed
data_KTbCe2S4
_chemical_formula_sum 'K1 Tb1 Ce2 S4'
_symmetry_space_group_name_H-M 'P 1'
_symmetry_Int_Tables_number 1
_cell_length_a 4.0537
_cell_length_b 7.1031
_cell_length_c 7.1417
_cell_angle_alpha 71.09
_cell_angle_beta 90.00
_cell_angle_gamma 90.00
loop_
_symmetry_equiv_pos_as_xyz
'x,y,z'
loop_
_atom_site_label
_atom_site_type_symbol
_atom_site_fract_x
_atom_site_fract_y
_atom_site_fract_z
_atom_site_occupancy
K1 K 0.5000 0.5000 0.0000 1
Tb1 Tb 0.0000 0.5000 0.5000 1
Ce1 Ce 0.0000 0.0000 0.0000 1
Ce2 Ce 0.5000 0.0000 0.5000 1
S1 S 0.0000 0.7606 0.7297 1
S2 S 0.0000 0.2394 0.2703 1
S3 S 0.5000 0.7471 0.2635 1
S4 S 0.5000 0.2529 0.7365 1
# - Symmetry: P2/m (10)
# - Formation energy without anion corrections: -1841.2 meV per atom

***

# HfRu | the Alexandria database | PBE | relaxed
data_HfRu
_chemical_formula_sum 'Hf8 Ru8'
_symmetry_space_group_name_H-M 'P 1'
_symmetry_Int_Tables_number 1
_cell_length_a 7.7255
_cell_length_b 7.7255
_cell_length_c 7.7255
_cell_angle_alpha 90.00
_cell_angle_beta 90.00
_cell_angle_gamma 90.00
loop_
_symmetry_equiv_pos_as_xyz
'x,y,z'
loop_
_atom_site_label
_atom_site_type_symbol
_atom_site_fract_x
_atom_site_fract_y
_atom_site_fract_z
_atom_site_occupancy
Hf1 Hf 0.3036 0.3036 0.3036 1
Hf2 Hf 0.3036 0.6964 0.6964 1
Hf3 Hf 0.6964 0.3036 0.6964 1
Hf4 Hf 0.6964 0.6964 0.3036 1
Hf5 Hf 0.8036 0.8036 0.8036 1
Hf6 Hf 0.8036 0.1964 0.1964 1
Hf7 Hf 0.1964 0.8036 0.1964 1
Hf8 Hf 0.1964 0.1964 0.8036 1
Ru1 Ru 0.1278 0.1278 0.1278 1
Ru2 Ru 0.1278 0.8722 0.8722 1
Ru3 Ru 0.8722 0.1278 0.8722 1
Ru4 Ru 0.8722 0.8722 0.1278 1
Ru5 Ru 0.6278 0.6278 0.6278 1
Ru6 Ru 0.6278 0.3722 0.3722 1
Ru7 Ru 0.3722 0.6278 0.3722 1
Ru8 Ru 0.3722 0.3722 0.6278 1
# - Symmetry: I-43m (217)
# - Energy of formation: 0.822 eV per atom

***

# Tm4Hg2H | the Alexandria database | PBE | relaxed
data_Tm4Hg2H
_chemical_formula_sum 'Tm4 Hg2 H1'
_symmetry_space_group_name_H-M 'P 1'
_symmetry_Int_Tables_number 1
_cell_length_a 4.6238
_cell_length_b 4.6238
_cell_length_c 8.3410
_cell_angle_alpha 106.09
_cell_angle_beta 106.09
_cell_angle_gamma 90.00
loop_
_symmetry_equiv_pos_as_xyz
'x,y,z'
loop_
_atom_site_label
_atom_site_type_symbol
_atom_site_fract_x
_atom_site_fract_y
_atom_site_fract_z
_atom_site_occupancy
H1 H 0.0000 0.0000 0.0000 1
Tm1 Tm 0.8208 0.8208 0.6416 1
Tm2 Tm 0.1792 0.1792 0.3584 1
Tm3 Tm 0.0000 0.5000 0.0000 1
Tm4 Tm 0.5000 0.0000 0.0000 1
Hg1 Hg 0.6319 0.6319 0.2638 1
Hg2 Hg 0.3681 0.3681 0.7362 1
# - Symmetry: I4/mmm (139)
# - Electronic total energy: -24.0 eV/cell

***

# Sm3NiRh2 | the Alexandria database | PBE | relaxed
data_Sm3NiRh2
_chemical_formula_sum 'Sm12 Ni4 Rh8'
_symmetry_space_group_name_H-M 'P 1'
_symmetry_Int_Tables_number 1
_cell_length_a 4.0918
_cell_length_b 11.4947
_cell_length_c 11.4669
_cell_angle_alpha 90.00
_cell_angle_beta 90.00
_cell_angle_gamma 90.00
loop_
_symmetry_equiv_pos_as_xyz
'x,y,z'
loop_
_atom_site_label
_atom_site_type_symbol
_atom_site_fract_x
_atom_site_fract_y
_atom_site_fract_z
_atom_site_occupancy
Sm1 Sm 0.2500 0.3754 0.0519 1
Sm2 Sm 0.7500 0.6246 0.9481 1
Sm3 Sm 0.7500 0.8754 0.4481 1
Sm4 Sm 0.2500 0.1246 0.5519 1
Sm5 Sm 0.2500 0.6931 0.2126 1
Sm6 Sm 0.7500 0.3069 0.7874 1
Sm7 Sm 0.7500 0.1931 0.2874 1
Sm8 Sm 0.2500 0.8069 0.7126 1
Sm9 Sm 0.2500 0.4412 0.3799 1
Sm10 Sm 0.7500 0.5588 0.6201 1
Sm11 Sm 0.7500 0.9412 0.1201 1
Sm12 Sm 0.2500 0.0588 0.8799 1
Ni1 Ni 0.2500 0.1280 0.1260 1
Ni2 Ni 0.7500 0.8720 0.8740 1
Ni3 Ni 0.7500 0.6280 0.3740 1
Ni4 Ni 0.2500 0.3720 0.6260 1
Rh1 Rh 0.2500 0.6929 0.4886 1
Rh2 Rh 0.7500 0.3071 0.5114 1
Rh3 Rh 0.7500 0.1929 0.0114 1
Rh4 Rh 0.2500 0.8071 0.9886 1
Rh5 Rh 0.2500 0.0037 0.3150 1
Rh6 Rh 0.7500 0.9963 0.6850 1
Rh7 Rh 0.7500 0.5037 0.1850 1
Rh8 Rh 0.2500 0.4963 0.8150 1
# - Symmetry: Pnma (62)
# - Energy of formation: -0.609 eV per atom

***

# Hf4CoAs | the Alexandria database | PBE | relaxed
data_Hf4CoAs
_chemical_formula_sum 'Hf8 Co2 As2'
_symmetry_space_group_name_H-M 'P 1'
_symmetry_Int_Tables_number 1
_cell_length_a 6.4891
_cell_length_b 6.4891
_cell_length_c 7.1526
_cell_angle_alpha 116.98
_cell_angle_beta 116.98
_cell_angle_gamma 90.00
loop_
_symmetry_equiv_pos_as_xyz
'x,y,z'
loop_
_atom_site_label
_atom_site_type_symbol
_atom_site_fract_x
_atom_site_fract_y
_atom_site_fract_z
_atom_site_occupancy
Hf1 Hf 0.4777 0.9777 0.2804 1
Hf2 Hf 0.9777 0.8027 0.2804 1
Hf3 Hf 0.3027 0.4777 0.2804 1
Hf4 Hf 0.6973 0.5223 0.7196 1
Hf5 Hf 0.0223 0.1973 0.7196 1
Hf6 Hf 0.5223 0.0223 0.7196 1
Hf7 Hf 0.1973 0.6973 0.7196 1
Hf8 Hf 0.8027 0.3027 0.2804 1
Co1 Co 0.2500 0.2500 0.5000 1
Co2 Co 0.7500 0.7500 0.5000 1
As1 As 0.5000 0.5000 0.0000 1
As2 As 0.0000 0.0000 0.0000 1
# - Symmetry: I4/mcm (140)
# - Energy of formation: -0.351 eV per atom

***

# Pm2Er3Sb2 | the Alexandria database | PBE | relaxed
data_Pm2Er3Sb2
_chemical_formula_sum 'Pm2 Er3 Sb2'
_symmetry_space_group_name_H-M 'P 1'
_symmetry_Int_Tables_number 1
_cell_length_a 4.2888
_cell_length_b 6.4305
_cell_length_c 8.6045
_cell_angle_alpha 108.86
_cell_angle_beta 90.00
_cell_angle_gamma 109.48
loop_
_symmetry_equiv_pos_as_xyz
'x,y,z'
loop_
_atom_site_label
_atom_site_type_symbol
_atom_site_fract_x
_atom_site_fract_y
_atom_site_fract_z
_atom_site_occupancy
Pm1 Pm 0.8663 0.7325 0.2087 1
Pm2 Pm 0.1337 0.2675 0.7913 1
Er1 Er 0.5000 0.0000 0.0000 1
Er2 Er 0.6254 0.2509 0.4464 1
Er3 Er 0.3746 0.7491 0.5536 1
Sb1 Sb 0.8311 0.6621 0.7988 1
Sb2 Sb 0.1689 0.3379 0.2012 1
# - Symmetry: C2/m (12)
# - Formation energy without anion corrections: -647.0 meV per atom

***

# Cs2SnAu | the Alexandria database | PBE | relaxed
data_Cs2SnAu
_chemical_formula_sum 'Cs2 Sn1 Au1'
_symmetry_space_group_name_H-M 'P 1'
_symmetry_Int_Tables_number 1
_cell_length_a 6.4794
_cell_length_b 6.4794
_cell_length_c 6.4794
_cell_angle_alpha 60.00
_cell_angle_beta 60.00
_cell_angle_gamma 60.00
loop_
_symmetry_equiv_pos_as_xyz
'x,y,z'
loop_
_atom_site_label
_atom_site_type_symbol
_atom_site_fract_x
_atom_site_fract_y
_atom_site_fract_z
_atom_site_occupancy
Cs1 Cs 0.2500 0.2500 0.2500 1
Cs2 Cs 0.7500 0.7500 0.7500 1
Au1 Au 0.5000 0.5000 0.5000 1
Sn1 Sn 0.0000 0.0000 0.0000 1
# - Symmetry: Fm-3m (225)
# - Energy of formation: 0.091 eV per atom

***

no.,magnetization (μB/f.u.),N(E_F) (states/eV per atom)
1,0.000,0.5286
2,0.000,0.6360
3,0.000,0.5298
4,0.000,0.8046
5,2.388,1.5564
6,0.000,0.1029
7,0.000,0.8527
8,0.000,0.6495
9,0.000,1.2274
10,0.000,1.1806
11,2.908,0.3912